# 1
Material: SrMgTiBi2
Method: DFT, PBE
State: relaxed

Cell lengths 6.013, 5.167, 6.013 Å; angles 90.00, 90.00, 90.00 degrees
Positions (direct):
Sr (0.000, 0.000, 0.000)
Ti (0.000, 0.500, 0.000)
Bi (0.000, 0.000, 0.500)
Bi (0.500, 0.000, 0.000)
Mg (0.500, 0.500, 0.500)

Properties
The formation enthalpy at 0 K is 565 kJ/mol of formula units. As for the space-group type: P4/mmm (123). The value obtained for the uncorrected energy is -2.62 eV/atom. For the density of states at the Fermi level, the calculation gives 7.4 states/eV per cell.

---

# 2
Material: NaLi2PaCl8
Method: DFT, PBE
State: relaxed

Cell lengths 6.346, 6.295, 8.472 Å; angles 89.64, 89.69, 90.36 degrees
Positions (direct):
Li (0.501, 0.504, 0.323)
Li (0.499, 0.496, 0.677)
Cl (0.693, 0.702, 0.501)
Cl (0.806, 0.208, 0.783)
Cl (0.307, 0.298, 0.499)
Cl (0.292, 0.278, 0.997)
Cl (0.194, 0.792, 0.217)
Cl (0.708, 0.722, 0.003)
Cl (0.806, 0.207, 0.217)
Cl (0.194, 0.793, 0.783)
Pa (0.000, 0.000, 0.000)
Na (0.000, 0.000, 0.500)

Properties
For the energy relative to the elements, uncorrected, the calculation gives -1.780 eV per atom. As for the space-group type: P-1 (2). The value obtained for the uncorrected energy is -4.23 eV/atom.

---

# 3
Material: ReSbN2O
Method: DFT, PBE
State: relaxed

Cell lengths 4.088, 4.088, 3.853 Å; angles 90.00, 90.00, 90.00 degrees
Each line ends with the local moment (μB).
Positions (direct):
Sb (0.000, 0.000, 0.000)  0.01
N (0.500, 0.000, 0.000)  -0.10
N (0.000, 0.500, 0.000)  -0.10
Re (0.500, 0.500, 0.500)  3.41
O (0.000, 0.000, 0.500)  0.14

Properties
For the energy relative to the elements, uncorrected, the calculation gives 1.380 eV per atom. As for the space-group type: P4/mmm (123). The value obtained for the uncorrected energy is -6.26 eV/atom. For the density of states at the Fermi level, the calculation gives 0.9 states/eV per cell.

---

Question: What is the uncorrected energy in the third record?
Answer: -6.26 eV/atom

---

Question: uncorrected energy of number 2 (NaLi2PaCl8)?
Answer: -4.23 eV/atom